[1]
Here is an optimized crystal structure of SrSc2Mo from Alexandria via LeMat-Bulk. Energies are from PBE-GGA.

Calculated values
Energy relative to the elements ... 535 meV/atom
Symmetry ... Imm2, No. 44
ΔE to the lowest computed polymorph ... 0.2928 eV/atom

Unit cell a=8.071 b=8.071 c=8.071 alpha=156.19 beta=146.88 gamma=41.20
Atoms (fractional coordinates):
Sc1 0.739 0.239 0.500
Sc2 0.097 0.097 0.000
Sr1 0.427 0.427 0.000
Mo1 0.237 0.737 0.500

[2]
Here is an optimized crystal structure of SrSc2Mo from Alexandria via LeMat-Bulk. Energies are from PBE-GGA.

Calculated values
Energy relative to the elements ... 636 meV/atom
Symmetry ... R3m, No. 160
ΔE to the lowest computed polymorph ... 0.3940 eV/atom

Unit cell a=10.817 b=10.817 c=10.817 alpha=17.61 beta=17.61 gamma=17.61
Atoms (fractional coordinates):
Sc1 0.259 0.259 0.259
Sc2 0.011 0.011 0.011
Mo1 0.742 0.742 0.742
Sr1 0.489 0.489 0.489

[3]
Here is an optimized crystal structure of SrSc2Mo from Alexandria via LeMat-Bulk. Energies are from PBE-GGA.

Calculated values
Energy relative to the elements ... 707 meV/atom
Symmetry ... F-43m, No. 216
ΔE to the lowest computed polymorph ... 0.4647 eV/atom

Unit cell a=5.137 b=5.137 c=5.137 alpha=60.00 beta=60.00 gamma=60.00
Atoms (fractional coordinates):
Mo1 0.500 0.500 0.500
Sc1 0.000 0.000 0.000
Sc2 0.250 0.250 0.250
Sr1 0.750 0.750 0.750

[4]
Here is an optimized crystal structure of SrSc2Mo from Alexandria via LeMat-Bulk. Energies are from PBE-GGA.

Calculated values
Energy relative to the elements ... 414 meV/atom
Symmetry ... R-3m, No. 166
ΔE to the lowest computed polymorph ... 0.1723 eV/atom

Unit cell a=10.501 b=10.501 c=10.501 alpha=18.90 beta=18.90 gamma=18.90
Atoms (fractional coordinates):
Sc1 0.478 0.478 0.478
Sc2 0.022 0.022 0.022
Mo1 0.750 0.750 0.750
Sr1 0.250 0.250 0.250

[5]
Here is an optimized crystal structure of SrScMo2 from Alexandria via LeMat-Bulk. Energies are from PBE-GGA.

Calculated values
Energy relative to the elements ... 522 meV/atom
Symmetry ... Cm, No. 8
ΔE to the lowest computed polymorph ... 0.1958 eV/atom

Unit cell a=4.421 b=4.421 c=7.536 alpha=86.03 beta=86.03 gamma=42.91
Atoms (fractional coordinates):
Sc1 0.482 0.482 0.589
Sr1 0.260 0.260 0.212
Mo1 0.740 0.740 0.786
Mo2 0.018 0.018 0.913

[6]
Here is an optimized crystal structure of SrSc2Mo from Alexandria via LeMat-Bulk. Energies are from PBE-GGA.

Calculated values
Energy relative to the elements ... 691 meV/atom
Symmetry ... Cmmm, No. 65
ΔE to the lowest computed polymorph ... 0.4489 eV/atom

Unit cell a=5.557 b=5.557 c=3.209 alpha=90.00 beta=90.00 gamma=107.49
Atoms (fractional coordinates):
Mo1 0.000 0.500 0.500
Sc1 0.000 0.000 0.000
Sc2 0.500 0.500 0.000
Sr1 0.500 0.000 0.500

[7]
Here is an optimized crystal structure of SrScMo2 from Alexandria via LeMat-Bulk. Energies are from PBE-GGA.

Calculated values
Energy relative to the elements ... 896 meV/atom
Symmetry ... R-3m, No. 166
ΔE to the lowest computed polymorph ... 0.5701 eV/atom

Unit cell a=10.438 b=10.438 c=10.438 alpha=16.79 beta=16.79 gamma=16.79
Atoms (fractional coordinates):
Mo1 0.507 0.507 0.507
Mo2 0.993 0.993 0.993
Sc1 0.250 0.250 0.250
Sr1 0.750 0.750 0.750

[8]
Here is an optimized crystal structure of SrSc2Mo from Alexandria via LeMat-Bulk. Energies are from PBE-GGA.

Calculated values
Energy relative to the elements ... 562 meV/atom
Symmetry ... Cmm2, No. 35
ΔE to the lowest computed polymorph ... 0.3199 eV/atom

Unit cell a=3.134 b=3.134 c=10.416 alpha=90.00 beta=90.00 gamma=103.79
Atoms (fractional coordinates):
Sc1 0.000 0.000 0.968
Sr1 0.000 0.000 0.531
Mo1 0.500 0.500 0.779
Sc2 0.500 0.500 0.222